Entry 1:
DFT (PBE) results for Pm2PrHg2Pb2 after structural relaxation.

Output
Space group: R-3m, No. 166

POSCAR file:
```
Pm2PrHg2Pb2
1.0
5.1224 0.0000 0.0000
2.5612 4.4362 0.0000
2.5612 1.4787 9.2369
Pm Pb Hg Pr
2 2 2 1
Direct
0.8689 0.8689 0.3933
0.1311 0.1311 0.6067
0.7278 0.7278 0.8165
0.2722 0.2722 0.1835
0.4339 0.4339 0.6983
0.5661 0.5661 0.3017
0.0000 0.0000 0.0000
```

Entry 2:
DFT (PBE) results for NiGePd2C after structural relaxation.

Output
Space group: P4/mmm, No. 123

POSCAR file:
```
NiGePd2C
1.0
-0.9913 -0.8116 -3.8870
1.0434 -4.0512 0.5797
-3.8399 -0.8242 1.1514
Pd C Ni Ge
2 1 1 1
Direct
0.5000 0.0000 0.0000
0.0000 0.0000 0.5000
0.0000 0.0000 0.0000
0.5000 0.5000 0.5000
0.0000 0.5000 0.0000
```

| no. | formation enthalpy at 0 K (meV/atom) |
| --- | --- |
| 1 | -280 |
| 2 | 593 |